i:
First-principles (PBE-GGA) data for an optimized crystal structure of TaTiW, as listed in Alexandria.

CIF file:
```
data_TaTiW
_space_group_name_H-M_alt 'P 1 21/m 1'
_space_group_IT_number 11
_space_group_name_Hall '-P 2yb'
_cell_length_a 4.5986
_cell_length_b 4.5913
_cell_length_c 5.3469
_cell_angle_alpha 90.00
_cell_angle_beta 115.33
_cell_angle_gamma 90.00
loop_
_atom_site_label
_atom_site_fract_x
_atom_site_fract_y
_atom_site_fract_z
Ta1 0.0921 0.2500 0.1847
Ti1 0.4100 0.2500 0.8189
W1 0.2508 0.7500 0.5012
```

ii:
First-principles (PBE-GGA) data for an optimized crystal structure of TaTiW, as listed in Alexandria.

CIF file:
```
data_TaTiW
_space_group_name_H-M_alt 'R -3 m'
_space_group_IT_number 166
_space_group_name_Hall '-R 3 2"'
_cell_length_a 4.4033
_cell_length_b 4.4033
_cell_length_c 21.4125
_cell_angle_alpha 90.00
_cell_angle_beta 90.00
_cell_angle_gamma 120.00
loop_
_atom_site_label
_atom_site_fract_x
_atom_site_fract_y
_atom_site_fract_z
Ta1 0.0000 0.0000 0.1259
Ti1 0.0000 0.0000 0.3761
W1 0.0000 0.0000 0.2505
```

Stability verdict: i, ahead by 646 meV per atom

i:
First-principles (PBE-GGA) data for an optimized crystal structure of TaTiW, as listed in Alexandria.

CIF file:
```
data_TaTiW
_space_group_name_H-M_alt 'P 3 m 1'
_space_group_IT_number 156
_space_group_name_Hall 'P 3 -2"'
_cell_length_a 4.5508
_cell_length_b 4.5508
_cell_length_c 2.8370
_cell_angle_alpha 90.00
_cell_angle_beta 90.00
_cell_angle_gamma 120.00
loop_
_atom_site_label
_atom_site_fract_x
_atom_site_fract_y
_atom_site_fract_z
Ta1 0.0000 0.0000 0.0000
Ti1 0.6667 0.3333 0.3878
W1 0.3333 0.6667 0.7024
```

ii:
First-principles (PBE-GGA) data for an optimized crystal structure of TaTiW, as listed in Alexandria.

CIF file:
```
data_TaTiW
_space_group_name_H-M_alt 'P 4/n m m'
_space_group_IT_number 129
_cell_length_a 3.2192
_cell_length_b 3.2192
_cell_length_c 9.7976
_cell_angle_alpha 90.00
_cell_angle_beta 90.00
_cell_angle_gamma 90.00
loop_
_space_group_symop_operation_xyz
'x,y,z'
'-x,-y,-z'
'-y+1/2,x,z'
'y+1/2,-x,-z'
'-x+1/2,-y+1/2,z'
'x+1/2,y+1/2,-z'
'y,-x+1/2,z'
'-y,x+1/2,-z'
'x+1/2,-y,-z'
'-x+1/2,y,z'
'-y,-x,-z'
'y,x,z'
'-x,y+1/2,-z'
'x,-y+1/2,z'
'y+1/2,x+1/2,-z'
'-y+1/2,-x+1/2,z'
loop_
_atom_site_label
_atom_site_fract_x
_atom_site_fract_y
_atom_site_fract_z
Ta1 0.2500 0.2500 0.0832
Ti1 0.2500 0.2500 0.7413
W1 0.2500 0.2500 0.4243
```

Stability verdict: i, ahead by 62 meV per atom

i:
First-principles (PBE-GGA) data for an optimized crystal structure of Ta3TiW, as listed in Alexandria.

CIF file:
```
data_Ta3TiW
_space_group_name_H-M_alt 'I m m a'
_space_group_IT_number 74
_space_group_name_Hall '-I 2b 2'
_cell_length_a 5.2505
_cell_length_b 9.9676
_cell_length_c 7.2024
_cell_angle_alpha 90.00
_cell_angle_beta 90.00
_cell_angle_gamma 90.00
loop_
_atom_site_label
_atom_site_fract_x
_atom_site_fract_y
_atom_site_fract_z
Ta1 0.0000 0.1043 0.1033
Ta2 0.2500 0.2500 0.7500
Ti1 0.0000 0.0000 0.5000
W1 0.0000 0.2500 0.4032
```

ii:
First-principles (PBE-GGA) data for an optimized crystal structure of Ta3TiW, as listed in Alexandria.

CIF file:
```
data_Ta3TiW
_space_group_name_H-M_alt 'C 1 2/m 1'
_space_group_IT_number 12
_space_group_name_Hall '-C 2y'
_cell_length_a 9.7548
_cell_length_b 5.4654
_cell_length_c 7.1656
_cell_angle_alpha 90.00
_cell_angle_beta 110.00
_cell_angle_gamma 90.00
loop_
_atom_site_label
_atom_site_fract_x
_atom_site_fract_y
_atom_site_fract_z
Ta1 0.0531 0.0000 0.2108
Ta2 0.1522 0.2500 0.6086
Ti1 0.0523 0.5000 0.2115
W1 0.2462 0.5000 0.0010
```

iii:
First-principles (PBE-GGA) data for an optimized crystal structure of Ta3TiW, as listed in Alexandria.

CIF file:
```
data_Ta3TiW
_space_group_name_H-M_alt 'P m -3 m'
_space_group_IT_number 221
_space_group_name_Hall '-P 4 2 3'
_cell_length_a 4.8507
_cell_length_b 4.8507
_cell_length_c 4.8507
_cell_angle_alpha 90.00
_cell_angle_beta 90.00
_cell_angle_gamma 90.00
loop_
_atom_site_label
_atom_site_fract_x
_atom_site_fract_y
_atom_site_fract_z
Ta1 0.0000 0.0000 0.5000
Ti1 0.5000 0.5000 0.5000
W1 0.0000 0.0000 0.0000
```

Stability verdict: ii, ahead by 117 meV per atom